Entry 1:
Computed, not measured: a relaxed structure of Cr2TeRh at the PBE level of DFT.

Computed properties:
Formation energy without anion corrections   0.264 eV per atom
Theoretical density   9.29 Mg/m³

POSCAR file:
```
Cr2TeRh
1.0
-1.976 1.976 3.828
1.976 -1.976 3.828
1.976 1.976 -3.828
Cr Te Rh
2 1 1
Direct
0.250 0.750 0.500 Cr
0.750 0.250 0.500 Cr
0.000 0.000 0.000 Te
0.500 0.500 0.000 Rh
```


Entry 2:
Computed, not measured: a relaxed structure of AcAl2AgAu2 at the PBE level of DFT.

Computed properties:
Theoretical density   9.93 Mg/m³
Calculated formation energy   -563 meV/atom

POSCAR file:
```
AcAl2AgAu2
1.0
4.501 0.000 0.000
-2.250 3.898 0.000
0.000 0.000 7.459
Ac Al Ag Au
1 2 1 2
Direct
0.000 0.000 0.000 Ac
0.333 0.667 0.343 Al
0.667 0.333 0.657 Al
0.000 0.000 0.500 Ag
0.333 0.667 0.715 Au
0.667 0.333 0.285 Au
```


Entry 3:
Computed, not measured: a relaxed structure of LaV2Pt at the PBE level of DFT.

Computed properties:
Theoretical density   8.09 Mg/m³
Calculated formation energy   182 meV/atom

POSCAR file:
```
LaV2Pt
1.0
-2.126 2.126 9.899
2.126 -2.126 9.899
2.126 2.126 -9.899
La V Pt
2 4 2
Direct
0.000 0.000 0.000 La
0.750 0.250 0.500 La
0.352 0.125 0.727 V
0.375 0.648 0.773 V
0.398 0.625 0.273 V
0.875 0.602 0.227 V
0.250 0.750 0.500 Pt
0.500 0.500 0.000 Pt
```


Entry 4:
Computed, not measured: a relaxed structure of ZnSiMo2 at the PBE level of DFT.

Computed properties:
Formation energy without anion corrections   0.118 eV per atom
Theoretical density   8.12 Mg/m³

POSCAR file:
```
ZnSiMo2
1.0
2.780 -3.947 0.000
2.780 3.947 0.000
0.000 0.000 2.658
Zn Si Mo
1 1 2
Direct
0.000 0.000 0.000 Zn
0.500 0.500 0.000 Si
0.000 0.500 0.500 Mo
0.500 0.000 0.500 Mo
```


Entry 5:
Computed, not measured: a relaxed structure of HgP2Ru at the PBE level of DFT.

Computed properties:
Theoretical density   7.70 Mg/m³
Calculated formation energy   -89 meV/atom

POSCAR file:
```
HgP2Ru
1.0
3.547 -1.492 0.000
3.547 1.492 0.000
-2.577 0.000 7.402
Hg P Ru
1 2 1
Direct
0.000 0.000 0.000 Hg
0.147 0.147 0.340 P
0.853 0.853 0.660 P
0.500 0.500 0.500 Ru
```


Entry 6:
Computed, not measured: a relaxed structure of RbPtF at the PBE level of DFT.

Computed properties:
Formation energy without anion corrections   -0.338 eV per atom
Theoretical density   7.00 Mg/m³

POSCAR file:
```
RbPtF
1.0
4.140 0.000 0.000
-2.070 3.586 0.000
0.000 0.000 4.786
Rb Pt F
1 1 1
Direct
0.000 0.000 0.000 Rb
0.667 0.333 0.500 Pt
0.333 0.667 0.500 F
```


Entry 7:
Computed, not measured: a relaxed structure of Al2CrAg at the PBE level of DFT.

Computed properties:
Theoretical density   5.47 Mg/m³
Calculated formation energy   181 meV/atom

POSCAR file:
```
Al2CrAg
1.0
2.929 0.000 0.000
0.000 2.929 0.000
0.000 0.000 7.573
Al Cr Ag
2 1 1
Direct
0.000 0.000 0.000 Al
0.500 0.500 0.263 Al
0.000 0.000 0.483 Cr
0.500 0.500 0.747 Ag
```


Entry 8:
Computed, not measured: a relaxed structure of Sm2ZnGe4Ir3 at the PBE level of DFT.

Computed properties:
Theoretical density   10.94 Mg/m³
Calculated formation energy   -667 meV/atom

POSCAR file:
```
Sm2ZnGe4Ir3
1.0
4.267 0.000 0.000
0.000 4.267 0.000
0.000 0.000 10.281
Sm Zn Ge Ir
2 1 4 3
Direct
0.000 0.500 0.241 Sm
0.500 0.000 0.759 Sm
0.000 0.000 0.500 Zn
0.000 0.000 0.000 Ge
0.000 0.500 0.638 Ge
0.500 0.000 0.362 Ge
0.500 0.500 0.000 Ge
0.000 0.500 0.875 Ir
0.500 0.000 0.125 Ir
0.500 0.500 0.500 Ir
```


Entry 9:
Computed, not measured: a relaxed structure of Sc6CuS4 at the PBE level of DFT.

Computed properties:
Formation energy without anion corrections   -1.429 eV per atom
Theoretical density   3.72 Mg/m³

POSCAR file:
```
Sc6CuS4
1.0
1.828 -6.018 0.000
1.828 6.018 0.000
0.000 0.000 18.722
Sc Cu S
12 2 8
Direct
0.000 0.000 0.000 Sc
0.000 0.000 0.500 Sc
0.174 0.826 0.750 Sc
0.275 0.725 0.087 Sc
0.275 0.725 0.413 Sc
0.450 0.550 0.664 Sc
0.450 0.550 0.836 Sc
0.550 0.450 0.164 Sc
0.550 0.450 0.336 Sc
0.725 0.275 0.587 Sc
0.725 0.275 0.913 Sc
0.826 0.174 0.250 Sc
0.161 0.839 0.250 Cu
0.839 0.161 0.750 Cu
0.088 0.912 0.625 S
0.088 0.912 0.875 S
0.361 0.639 0.540 S
0.361 0.639 0.960 S
0.639 0.361 0.040 S
0.639 0.361 0.460 S
0.912 0.088 0.125 S
0.912 0.088 0.375 S
```


Entry 10:
Computed, not measured: a relaxed structure of Cr2WSe at the PBE level of DFT.

Computed properties:
Formation energy without anion corrections   0.375 eV per atom
Theoretical density   10.76 Mg/m³

POSCAR file:
```
Cr2WSe
1.0
2.878 0.000 0.000
0.000 4.215 0.000
-1.042 0.000 4.668
Cr W Se
2 1 1
Direct
0.000 0.000 0.000 Cr
0.324 0.500 0.769 Cr
0.553 0.000 0.519 W
0.025 0.500 0.241 Se
```


What did the second record say?
Computed, not measured: a relaxed structure of AcAl2AgAu2 at the PBE level of DFT.

Computed properties:
Theoretical density   9.93 Mg/m³
Calculated formation energy   -563 meV/atom

POSCAR file:
```
AcAl2AgAu2
1.0
4.501 0.000 0.000
-2.250 3.898 0.000
0.000 0.000 7.459
Ac Al Ag Au
1 2 1 2
Direct
0.000 0.000 0.000 Ac
0.333 0.667 0.343 Al
0.667 0.333 0.657 Al
0.000 0.000 0.500 Ag
0.333 0.667 0.715 Au
0.667 0.333 0.285 Au
```